1.
Zr2SiSe (PBE-GGA, relaxed); size of the total moment = 0.000 μB/atom; distance to the lowest polymorph of the same formula = 364 meV/atom; formation energy (no corrections) = -652 meV per atom; electronic total energy = -28.6 eV/f.u.
1.0
0.000 3.360 3.360
3.360 0.000 3.360
3.360 3.360 0.000
Zr Si Se
2 1 1
Direct
0.250 0.250 0.250 Zr
0.750 0.750 0.750 Zr
0.000 0.000 0.000 Si
0.500 0.500 0.500 Se

---

2.
Zr2SiSe (PBE-GGA, relaxed); size of the total moment = 0.348 μB/atom; distance to the lowest polymorph of the same formula = 1003 meV/atom; formation energy (no corrections) = -13 meV per atom; electronic total energy = -26.1 eV/f.u.
1.0
0.000 3.382 3.382
3.382 0.000 3.382
3.382 3.382 0.000
Zr Si Se
2 1 1
Direct
0.000 0.000 0.000 Zr
0.250 0.250 0.250 Zr
0.500 0.500 0.500 Si
0.750 0.750 0.750 Se

---

3.
ZrSi2Se (PBE-GGA, relaxed); size of the total moment = 0.000 μB/atom; formation energy (no corrections) = -232 meV per atom; electronic total energy = -23.8 eV/f.u.
1.0
3.717 0.000 0.000
0.000 3.717 0.000
0.000 0.000 5.256
Zr Si Se
1 2 1
Direct
0.000 0.000 0.000 Zr
0.500 0.500 0.252 Si
0.500 0.500 0.748 Si
0.000 0.000 0.500 Se